No. 1
DFT (PBE-GGA) results for a relaxed structure of LaMg3Nb.

Summary:
Total energy: -10.3 eV for the cell shown
N(E_F): 1.33 states/eV/atom

a b c (Å): 5.4252 5.4252 5.4252
angles (deg): 90.00 90.00 90.00
Space group Pm-3m (No. 221)
Unique sites:
La1 0.0000 0.0000 0.0000 [1 per cell]
Mg1 0.0000 0.0000 0.5000 [3 per cell]
Nb1 0.5000 0.5000 0.5000 [1 per cell]

***

No. 2
DFT (PBE-GGA) results for a relaxed structure of Ho2TmZn9.

Summary:
Total energy: -86.2 eV for the cell shown
N(E_F): 0.54 states/eV/atom

a b c (Å): 5.4174 5.4174 25.5719
angles (deg): 90.00 90.00 120.00
Space group R-3m (No. 166, hexagonal axes)
Unique sites:
Ho1 0.0000 0.0000 0.1395 [6 per cell]
Tm1 0.0000 0.0000 0.0000 [3 per cell]
Zn1 0.0000 0.0000 0.3348 [6 per cell]
Zn2 0.0000 0.0000 0.5000 [3 per cell]
Zn3 0.0058 0.5029 0.9177 [18 per cell]

***

No. 3
DFT (PBE-GGA) results for a relaxed structure of TbDy12Tl3.

Summary:
Total energy: -69.0 eV for the cell shown
N(E_F): 1.29 states/eV/atom

a b c (Å): 4.8589 4.8589 19.8595
angles (deg): 90.00 90.00 90.00
Space group P4/mmm (No. 123)
Unique sites:
Tb1 0.0000 0.0000 0.0000 [1 per cell]
Dy1 0.0000 0.5000 0.1300 [4 per cell]
Dy2 0.0000 0.5000 0.3770 [4 per cell]
Dy3 0.5000 0.5000 0.0000 [1 per cell]
Dy4 0.5000 0.5000 0.2546 [2 per cell]
Dy5 0.5000 0.5000 0.5000 [1 per cell]
Tl1 0.0000 0.0000 0.2567 [2 per cell]
Tl2 0.0000 0.0000 0.5000 [1 per cell]

***

No. 4
DFT (PBE-GGA) results for a relaxed structure of In2SBrCl.

Summary:
Formation energy without anion corrections: 0.371 eV/atom
N(E_F): 1.40 states/eV/atom

a b c (Å): 6.7583 6.7583 5.8930
angles (deg): 90.00 90.00 90.00
Space group P4/mmm (No. 123)
Unique sites:
In1 0.0000 0.5000 0.0000 [2 per cell]
S1 0.0000 0.0000 0.5000 [1 per cell]
Br1 0.5000 0.5000 0.5000 [1 per cell]
Cl1 0.5000 0.5000 0.0000 [1 per cell]

***

No. 5
DFT (PBE-GGA) results for a relaxed structure of PmCu12Si4.

Summary:
Formation energy without anion corrections: 0.260 eV/atom
N(E_F): 0.58 states/eV/atom

a b c (Å): 8.1349 8.1349 8.1349
angles (deg): 90.00 90.00 90.00
Space group Im-3 (No. 204)
Unique sites:
Pm1 0.0000 0.0000 0.0000 [2 per cell]
Cu1 0.0000 0.1576 0.3528 [24 per cell]
Si1 0.2500 0.2500 0.2500 [8 per cell]

***

No. 6
DFT (PBE-GGA) results for a relaxed structure of HfMg3C.

Summary:
Total energy: -11.5 eV for the cell shown
N(E_F): 1.73 states/eV/atom

a b c (Å): 5.7279 5.7279 5.7279
angles (deg): 90.00 90.00 90.00
Space group Pm-3m (No. 221)
Unique sites:
Hf1 0.0000 0.0000 0.0000 [1 per cell]
Mg1 0.0000 0.0000 0.5000 [3 per cell]
C1 0.5000 0.5000 0.5000 [1 per cell]

***

No. 7
DFT (PBE-GGA) results for a relaxed structure of Sb2HPd6.

Summary:
Total energy: -87.9 eV for the cell shown
N(E_F): 0.78 states/eV/atom

a b c (Å): 4.8781 4.8781 13.1023
angles (deg): 90.00 90.00 90.00
Space group P4_2/mnm (No. 136)
Unique sites:
Sb1 0.0000 0.0000 0.2227 [4 per cell]
H1 0.0000 0.0000 0.5000 [2 per cell]
Pd1 0.2009 0.2009 0.0000 [4 per cell]
Pd2 0.2043 0.2043 0.3922 [8 per cell]

***

No. 8
DFT (PBE-GGA) results for a relaxed structure of PmDyAlGa.

Summary:
Total energy: -36.2 eV for the cell shown
N(E_F): 0.96 states/eV/atom

a b c (Å): 4.1297 4.4514 11.1746
angles (deg): 90.00 90.00 90.00
Space group Amm2 (No. 38)
Unique sites:
Pm1 0.0000 0.0000 0.0000 [2 per cell]
Dy1 0.5000 0.0000 0.7187 [2 per cell]
Al1 0.0000 0.0000 0.2876 [2 per cell]
Ga1 0.5000 0.0000 0.4327 [2 per cell]

***

No. 9
DFT (PBE-GGA) results for a relaxed structure of SrVAu.

Summary:
Total energy: -27.4 eV for the cell shown
N(E_F): 1.37 states/eV/atom

a b c (Å): 4.5957 4.5957 8.9547
angles (deg): 90.00 90.00 120.00
Space group P6_3/mmc (No. 194)
Unique sites:
Sr1 0.0000 0.0000 0.0000 [2 per cell]
V1 0.3333 0.6667 0.2500 [2 per cell]
Au1 0.3333 0.6667 0.7500 [2 per cell]

***

No. 10
DFT (PBE-GGA) results for a relaxed structure of CsGe2Sb2.

Summary:
Formation energy without anion corrections: -0.059 eV/atom
N(E_F): 0.41 states/eV/atom

a b c (Å): 5.0879 5.0879 12.7875
angles (deg): 90.00 90.00 90.00
Space group I4/mmm (No. 139)
Unique sites:
Cs1 0.0000 0.0000 0.0000 [2 per cell]
Ge1 0.0000 0.0000 0.3588 [4 per cell]
Sb1 0.0000 0.5000 0.2500 [4 per cell]

***

No. 11
DFT (PBE-GGA) results for a relaxed structure of TlCuIr2.

Summary:
Total energy: -66.7 eV for the cell shown
N(E_F): 1.31 states/eV/atom

a b c (Å): 2.8980 2.8980 27.2173
angles (deg): 90.00 90.00 120.00
Space group R3m (No. 160, hexagonal axes)
Unique sites:
Tl1 0.0000 0.0000 0.0000 [3 per cell]
Cu1 0.0000 0.0000 0.2442 [3 per cell]
Ir1 0.0000 0.0000 0.5019 [3 per cell]
Ir2 0.0000 0.0000 0.7590 [3 per cell]

***

No. 12
DFT (PBE-GGA) results for a relaxed structure of KCu2Ag.

Summary:
Total energy: -9.9 eV for the cell shown
N(E_F): 0.22 states/eV/atom

a b c (Å): 2.8742 5.1410 5.2737
angles (deg): 90.00 90.00 90.00
Space group Pmmm (No. 47)
Unique sites:
K1 0.0000 0.0000 0.0000 [1 per cell]
Cu1 0.0000 0.5000 0.5000 [1 per cell]
Cu2 0.5000 0.5000 0.0000 [1 per cell]
Ag1 0.5000 0.0000 0.5000 [1 per cell]

***

No. 13
DFT (PBE-GGA) results for a relaxed structure of EuZrIr4.

Summary:
Total energy: -230.2 eV for the cell shown
N(E_F): 1.77 states/eV/atom

a b c (Å): 7.5398 7.5398 7.5398
angles (deg): 90.00 90.00 90.00
Space group F-43m (No. 216)
Unique sites:
Eu1 0.0000 0.0000 0.0000 [4 per cell]
Zr1 0.2500 0.2500 0.2500 [4 per cell]
Ir1 0.1249 0.1249 0.6249 [16 per cell]

***

No. 14
DFT (PBE-GGA) results for a relaxed structure of CsHf2Bi2O7.

Summary:
Formation energy without anion corrections: -2.195 eV/atom
N(E_F): 0.25 states/eV/atom

a b c (Å): 4.1223 17.2065 6.7095
angles (deg): 90.00 90.00 90.00
Space group Imm2 (No. 44)
Unique sites:
Cs1 0.0000 0.0000 0.0000 [2 per cell]
Hf1 0.0000 0.3923 0.0020 [4 per cell]
Bi1 0.0000 0.2679 0.5588 [4 per cell]
O1 0.0000 0.1271 0.5387 [4 per cell]
O2 0.0000 0.2812 0.1471 [4 per cell]
O3 0.0000 0.3882 0.7128 [4 per cell]
O4 0.0000 0.5000 0.1101 [2 per cell]

***

No. 15
DFT (PBE-GGA) results for a relaxed structure of Tb3Tm5S8.

Summary:
Formation energy without anion corrections: -1.956 eV/atom
N(E_F): 0.53 states/eV/atom

a b c (Å): 7.7401 7.7401 19.0279
angles (deg): 90.00 90.00 120.00
Space group R-3m (No. 166, hexagonal axes)
Unique sites:
Tb1 0.0000 0.5000 0.0000 [9 per cell]
Tm1 0.0000 0.0000 0.0000 [3 per cell]
Tm2 0.0000 0.0000 0.5000 [3 per cell]
Tm3 0.0000 0.5000 0.5000 [9 per cell]
S1 0.0000 0.0000 0.2470 [6 per cell]
S2 0.0038 0.5019 0.7519 [18 per cell]

***

No. 16
DFT (PBE-GGA) results for a relaxed structure of AcUI2.

Summary:
Formation energy without anion corrections: -0.232 eV/atom
N(E_F): 2.16 states/eV/atom

a b c (Å): 3.8634 3.8634 34.3306
angles (deg): 90.00 90.00 120.00
Space group R-3m (No. 166, hexagonal axes)
Unique sites:
Ac1 0.0000 0.0000 0.0000 [3 per cell]
U1 0.0000 0.0000 0.5000 [3 per cell]
I1 0.0000 0.0000 0.4080 [6 per cell]

***

No. 17
DFT (PBE-GGA) results for a relaxed structure of TbDy4Ho3S8.

Summary:
Formation energy without anion corrections: -1.984 eV/atom
N(E_F): 0.57 states/eV/atom

a b c (Å): 7.8014 7.8014 19.1129
angles (deg): 90.00 90.00 120.00
Space group R-3m (No. 166, hexagonal axes)
Unique sites:
Tb1 0.0000 0.0000 0.0000 [3 per cell]
Dy1 0.0000 0.0000 0.5000 [3 per cell]
Dy2 0.0000 0.5000 0.5000 [9 per cell]
Ho1 0.0000 0.5000 0.0000 [9 per cell]
S1 0.0000 0.0000 0.2507 [6 per cell]
S2 0.0020 0.5010 0.2502 [18 per cell]

***

No. 18
DFT (PBE-GGA) results for a relaxed structure of Nd5Dy12In2.

Summary:
Total energy: -169.6 eV for the cell shown
N(E_F): 1.36 states/eV/atom

a b c (Å): 15.4645 9.3298 8.4266
angles (deg): 90.00 92.37 90.00
Space group C2/m (No. 12)
Unique sites:
Nd1 0.0000 0.0000 0.0000 [2 per cell]
Nd2 0.1948 0.5000 0.5123 [4 per cell]
Nd3 0.2333 0.0000 0.0770 [4 per cell]
Dy1 0.0537 0.5000 0.8261 [4 per cell]
Dy2 0.0776 0.0000 0.3808 [4 per cell]
Dy3 0.1266 0.3071 0.1702 [8 per cell]
Dy4 0.1440 0.1836 0.7357 [8 per cell]
In1 0.0000 0.3221 0.5000 [4 per cell]

***

No. 19
DFT (PBE-GGA) results for a relaxed structure of CaMg2Au8.

Summary:
Total energy: -72.9 eV for the cell shown
N(E_F): 0.25 states/eV/atom

a b c (Å): 15.0789 4.1929 6.8463
angles (deg): 90.00 107.95 90.00
Space group C2/m (No. 12)
Unique sites:
Ca1 0.0000 0.0000 0.0000 [2 per cell]
Mg1 0.2226 0.5000 0.6560 [4 per cell]
Au1 0.0442 0.5000 0.7188 [4 per cell]
Au2 0.1033 0.0000 0.4602 [4 per cell]
Au3 0.1466 0.5000 0.2082 [4 per cell]
Au4 0.1821 0.0000 0.9117 [4 per cell]

***

No. 20
DFT (PBE-GGA) results for a relaxed structure of AlAg2N.

Summary:
Formation energy without anion corrections: 0.885 eV/atom
N(E_F): 0.00 states/eV/atom

a b c (Å): 5.0346 5.0346 12.3589
angles (deg): 90.00 90.00 90.00
Space group I-42d (No. 122)
Unique sites:
Al1 0.0000 0.0000 0.0000 [4 per cell]
Ag1 0.1394 0.2500 0.6250 [8 per cell]
N1 0.0000 0.0000 0.5000 [4 per cell]

***

No. 21
DFT (PBE-GGA) results for a relaxed structure of Al2PS6.

Summary:
Formation energy without anion corrections: -0.329 eV/atom
N(E_F): 0.41 states/eV/atom

a b c (Å): 5.6225 5.6225 10.3729
angles (deg): 90.00 90.00 90.00
Space group P4_2/mnm (No. 136)
Unique sites:
Al1 0.0000 0.0000 0.1663 [4 per cell]
P1 0.0000 0.0000 0.5000 [2 per cell]
S1 0.1883 0.1883 0.3391 [8 per cell]
S2 0.2014 0.2014 0.0000 [4 per cell]

***

No. 22
DFT (PBE-GGA) results for a relaxed structure of Ga4AgPt.

Summary:
Total energy: -88.3 eV for the cell shown
N(E_F): 0.32 states/eV/atom

a b c (Å): 8.6616 10.7385 5.6027
angles (deg): 90.00 122.38 90.00
Space group C2/c (No. 15)
Unique sites:
Ga1 0.1385 0.1790 0.0711 [8 per cell]
Ga2 0.2007 0.3908 0.3465 [8 per cell]
Ag1 0.0000 0.3949 0.7500 [4 per cell]
Pt1 0.0000 0.0149 0.2500 [4 per cell]